Below is a relaxed structure of KRb2CdBr5, with properties calculated at the GGA-PBE level.

Output
formation energy (no corrections)	-1431	meV per atom
symmetry	No. 140
magnetic moment	0.14	μB per formula unit
total energy	-2.7990	eV/atom
volume	38.39	A^3/atom

```
18
Lattice="-4.625 4.625 8.076 4.625 -4.625 8.076 4.625 4.625 -8.076" Properties=species:S:1:pos:R:3 pbc="T T T"
K 0.000 0.000 4.038
K 0.000 0.000 12.114
Rb 6.089 1.464 0.000
Rb 1.464 3.161 0.000
Rb 3.161 1.464 8.076
Rb -1.464 3.161 8.076
Cd 4.625 0.000 4.038
Cd 0.000 4.625 4.038
Br 0.000 0.000 0.000
Br 3.177 1.447 -2.408
Br 3.177 -1.447 5.668
Br 3.177 1.447 2.408
Br 3.177 -1.447 10.483
Br 0.000 0.000 8.076
Br 1.447 6.072 -2.408
Br 1.447 3.177 5.668
Br 1.447 6.072 2.408
Br 1.447 3.177 10.483
```

---

Below is a relaxed structure of LaNpN, with properties calculated at the GGA-PBE level.

Output
polymorph energy (0 for the lowest one)	0	meV per atom
formation energy (no corrections)	-722	meV per atom
symmetry	No. 11
magnetic moment	0.06	μB per formula unit
total energy	-9.4534	eV/atom
volume	22.41	A^3/atom

```
6
Lattice="4.679 0.000 0.000 0.000 3.330 0.000 -0.093 0.000 8.629" Properties=species:S:1:pos:R:3 pbc="T T T"
La 1.007 0.832 1.754
La 3.578 2.497 6.875
Np 1.493 2.497 4.686
Np 3.093 0.832 3.943
N 0.063 0.832 5.501
N 4.523 2.497 3.128
```

---

Below is a relaxed structure of CeNdBiTe, with properties calculated at the GGA-PBE level.

Output
polymorph energy (0 for the lowest one)	173	meV per atom
formation energy (no corrections)	-977	meV per atom
symmetry	No. 216
magnetic moment	1.90	μB per formula unit
total energy	-5.4080	eV/atom
volume	30.13	A^3/atom

```
16
Lattice="7.841 0.000 0.000 0.000 7.841 0.000 0.000 0.000 7.841" Properties=species:S:1:pos:R:3 pbc="T T T"
Ce 0.000 0.000 0.000
Ce 0.000 3.921 3.921
Ce 3.921 0.000 3.921
Ce 3.921 3.921 0.000
Nd 0.000 0.000 3.921
Nd 0.000 3.921 0.000
Nd 3.921 0.000 0.000
Nd 3.921 3.921 3.921
Bi 1.960 1.960 5.881
Bi 1.960 5.881 1.960
Bi 5.881 1.960 1.960
Bi 5.881 5.881 5.881
Te 1.960 1.960 1.960
Te 1.960 5.881 5.881
Te 5.881 1.960 5.881
Te 5.881 5.881 1.960
```

---

Below is a relaxed structure of LaTl2Pt, with properties calculated at the GGA-PBE level.

Output
symmetry	No. 99
magnetic moment	0.00	μB per formula unit
total energy	-4.3691	eV/atom
formation enthalpy at 0 K	-444	meV/atom
volume	27.38	A^3/atom

```
4
Lattice="3.846 0.000 0.000 0.000 3.846 0.000 0.000 0.000 7.405" Properties=species:S:1:pos:R:3 pbc="T T T"
La 0.000 0.000 0.000
Tl 0.000 0.000 3.295
Tl 1.923 1.923 5.192
Pt 1.923 1.923 1.255
```

---

Below is a relaxed structure of NdHo3, with properties calculated at the GGA-PBE level.

Output
polymorph energy (0 for the lowest one)	7	meV per atom
symmetry	No. 25
magnetic moment	0.00	μB per formula unit
total energy	-4.6055	eV/atom
formation enthalpy at 0 K	20	meV/atom
volume	32.47	A^3/atom

```
4
Lattice="3.640 0.000 0.000 0.000 5.676 0.000 0.000 0.000 6.287" Properties=species:S:1:pos:R:3 pbc="T T T"
Nd 0.000 0.000 0.000
Ho 0.000 2.838 4.167
Ho 1.820 0.000 3.129
Ho 1.820 2.838 1.039
```

---

Below is a relaxed structure of RbLiScSe2, with properties calculated at the GGA-PBE level.

Output
formation energy (no corrections)	-1187	meV per atom
symmetry	No. 67
magnetic moment	0.99	μB per formula unit
total energy	-4.4230	eV/atom
volume	29.94	A^3/atom

```
10
Lattice="3.193 -7.363 0.000 3.193 7.363 0.000 0.000 0.000 6.367" Properties=species:S:1:pos:R:3 pbc="T T T"
Rb 3.193 3.682 4.828
Rb 3.193 -3.682 1.539
Li 0.000 0.000 0.000
Li 3.193 0.000 0.000
Sc 1.597 0.000 3.184
Sc 4.790 0.000 3.184
Se 3.193 5.750 1.782
Se 3.193 1.613 1.782
Se 3.193 -1.613 4.586
Se 3.193 -5.750 4.586
```

---

Below is a relaxed structure of Ni2OsRh2, with properties calculated at the GGA-PBE level.

Output
polymorph energy (0 for the lowest one)	34	meV per atom
symmetry	No. 164
magnetic moment	1.08	μB per formula unit
total energy	-7.4123	eV/atom
formation enthalpy at 0 K	87	meV/atom
volume	13.19	A^3/atom

```
5
Lattice="2.676 0.000 0.000 -1.338 2.318 0.000 0.000 0.000 10.634" Properties=species:S:1:pos:R:3 pbc="T T T"
Ni 0.000 1.545 4.341
Ni 1.338 0.773 6.293
Os 0.000 0.000 0.000
Rh 0.000 1.545 8.426
Rh 1.338 0.773 2.209
```

---

Below is a relaxed structure of CsKNa2Ga, with properties calculated at the GGA-PBE level.

Output
polymorph energy (0 for the lowest one)	55	meV per atom
symmetry	No. 123
magnetic moment	0.00	μB per formula unit
total energy	-1.3914	eV/atom
formation enthalpy at 0 K	132	meV/atom
volume	52.13	A^3/atom

```
5
Lattice="6.168 0.000 0.000 0.000 6.168 0.000 0.000 0.000 6.852" Properties=species:S:1:pos:R:3 pbc="T T T"
Cs 0.000 0.000 0.000
K 3.084 3.084 0.000
Na 0.000 3.084 3.426
Na 3.084 0.000 3.426
Ga 0.000 0.000 3.426
```